DFT (PBE) results for BeFeSe2 after structural relaxation.

For the uncorrected formation energy, the calculation gives 0.230 eV/atom.

The space group is C2/m (No. 12) and the conventional cell measures 6.812, 6.740 and 4.105 Å, with angles of 90.00, 113.93 and 90.00 degrees. The asymmetric unit holds Be at (0.000, 0.000, 0.000), Fe at (0.000, 0.500, 0.000) and Se at (0.250, 0.250, 0.000).